(1)
VASP calculation (PBE) on TlPH2O4 after structural relaxation.

Properties
DOS(E_F)   0.00 states/eV per atom
VASP energy   -5.88 eV per atom

```
data_TlPH2O4
_chemical_formula_sum 'Tl8 P8 H16 O32'
_cell_length_a 9.1824
_cell_length_b 6.6150
_cell_length_c 15.3906
_cell_angle_alpha 90.00
_cell_angle_beta 105.99
_cell_angle_gamma 90.00
_space_group_name_H-M_alt 'P 1 21/c 1'
_space_group_IT_number 14
loop_
_space_group_symop_operation_xyz
'x,y,z'
'-x,-y,-z'
'-x,y+1/2,-z+1/2'
'x,-y+1/2,z+1/2'
loop_
_atom_site_label
_atom_site_type_symbol
_atom_site_fract_x
_atom_site_fract_y
_atom_site_fract_z
Tl1 Tl 0.0609 0.2275 0.1222
Tl2 Tl 0.4293 0.7189 0.8537
P1 P 0.1726 0.2401 0.3745
P2 P 0.3191 0.7451 0.6198
H1 H 0.0814 0.7416 0.6853
H2 H 0.2335 0.5300 0.0034
H3 H 0.2707 0.5130 0.5062
H4 H 0.3772 0.2364 0.8215
O1 O 0.0143 0.1926 0.3034
O2 O 0.1479 0.1005 0.9410
O3 O 0.2131 0.5837 0.0634
O4 O 0.2280 0.6447 0.6781
O5 O 0.2454 0.0426 0.4173
O6 O 0.2711 0.1722 0.8127
O7 O 0.3585 0.5913 0.5507
O8 O 0.4708 0.6682 0.1755
```



(2)
VASP calculation (PBE) on Tl2PHO4 after structural relaxation.

Properties
DOS(E_F)   0.00 states/eV per atom
VASP energy   -5.44 eV per atom

```
data_Tl2PHO4
_chemical_formula_sum 'Tl16 P8 H8 O32'
_cell_length_a 4.1922
_cell_length_b 12.1392
_cell_length_c 19.4036
_cell_angle_alpha 90.00
_cell_angle_beta 90.00
_cell_angle_gamma 90.00
_space_group_name_H-M_alt 'F d d d'
_space_group_IT_number 70
loop_
_space_group_symop_operation_xyz
'x,y,z'
'-x,-y,-z'
'-x+1/4,-y+1/4,z'
'x+1/4,y+1/4,-z'
'x,-y+1/4,-z+1/4'
'-x,y+1/4,z+1/4'
'-x+1/4,y,-z+1/4'
'x+1/4,-y,z+1/4'
'x,y+1/2,z+1/2'
'-x,-y+1/2,-z+1/2'
'-x+1/4,-y+3/4,z+1/2'
'x+1/4,y+3/4,-z+1/2'
'x,-y+3/4,-z+3/4'
'-x,y+3/4,z+3/4'
'-x+1/4,y+1/2,-z+3/4'
'x+1/4,-y+1/2,z+3/4'
'x+1/2,y,z+1/2'
'-x+1/2,-y,-z+1/2'
'-x+3/4,-y+1/4,z+1/2'
'x+3/4,y+1/4,-z+1/2'
'x+1/2,-y+1/4,-z+3/4'
'-x+1/2,y+1/4,z+3/4'
'-x+3/4,y,-z+3/4'
'x+3/4,-y,z+3/4'
'x+1/2,y+1/2,z'
'-x+1/2,-y+1/2,-z'
'-x+3/4,-y+3/4,z'
'x+3/4,y+3/4,-z'
'x+1/2,-y+3/4,-z+1/4'
'-x+1/2,y+3/4,z+1/4'
'-x+3/4,y+1/2,-z+1/4'
'x+3/4,-y+1/2,z+1/4'
loop_
_atom_site_label
_atom_site_type_symbol
_atom_site_fract_x
_atom_site_fract_y
_atom_site_fract_z
Tl1 Tl 0.1250 0.1250 0.2934
P1 P 0.1250 0.1250 0.6250
H1 H 0.1250 0.1250 0.1250
O1 O 0.1069 0.3034 0.8306
```



(3)
VASP calculation (PBE) on TlP2HO after structural relaxation.

Properties
DOS(E_F)   0.59 states/eV per atom
VASP energy   -3.86 eV per atom

```
data_TlP2HO
_chemical_formula_sum 'Tl1 P2 H1 O1'
_cell_length_a 3.4581
_cell_length_b 3.4581
_cell_length_c 6.9266
_cell_angle_alpha 90.00
_cell_angle_beta 90.00
_cell_angle_gamma 90.00
_space_group_name_H-M_alt 'P 4/m m m'
_space_group_IT_number 123
_space_group_name_Hall '-P 4 2'
loop_
_atom_site_label
_atom_site_type_symbol
_atom_site_fract_x
_atom_site_fract_y
_atom_site_fract_z
Tl1 Tl 0.0000 0.0000 0.0000
P1 P 0.0000 0.5000 0.5000
H1 H 0.5000 0.5000 0.5000
O1 O 0.5000 0.5000 0.0000
```



no.,volume (Å³ per cell)
1,899
2,987
3,83